Record 1
Computed, not measured: a relaxed DyHgS2O8 crystal at the PBE level of DFT.

Cell: 5.363 5.363 8.319 Å, 94.74 94.74 62.84°
Sites, in units of the cell vectors:
Dy (0.000, 0.000, 0.000)
Hg (0.000, 0.000, 0.500)
S (0.669, 0.669, 0.219)
S (0.331, 0.331, 0.781)
O (0.641, 0.208, 0.816)
O (0.787, 0.787, 0.107)
O (0.729, 0.729, 0.389)
O (0.271, 0.271, 0.611)
O (0.213, 0.213, 0.893)
O (0.208, 0.641, 0.816)
O (0.792, 0.359, 0.184)
O (0.359, 0.792, 0.184)

- N(E_F): 0.200 states/eV per atom
- Formation energy from raw total energies: -1.708 eV/atom


Record 2
Computed, not measured: a relaxed KAlRh crystal at the PBE level of DFT.

Cell: 4.802 4.802 4.802 Å, 60.00 60.00 60.00°
Sites, in units of the cell vectors:
K (0.750, 0.750, 0.750)
Rh (0.000, 0.000, 0.000)
Al (0.500, 0.500, 0.500)

- N(E_F): 1.083 states/eV per atom
- Polymorph energy (0 for the lowest one): 1564 meV per atom
- ΔH_f (0 K): 4.169 eV per formula unit